Record 1
# LiPuAu2O6

A geometry-optimized LiPuAu2O6 structure (PBE, the Alexandria database).

Cell lengths 12.2720, 9.5529, 5.4258 Å; angles 90.00, 102.94, 90.00 degrees
Last column: nearest neighbours and their distance in Å.
Space group C2/c (No. 15)
Unique sites:
Li 0.0000 0.0819 0.2500  6 O 2.12-2.22
Pu 0.0000 0.2570 0.7500  2 O 1.82
Au 0.2446 0.0011 0.7268  2 O 1.96-1.99
O 0.0829 0.2482 0.0736  1 Pu 1.82
O 0.0944 0.0890 0.6273  1 Au 1.99, 2 Li 2.12-2.19, 1 Pu 2.17
O 0.1126 0.4013 0.6775  1 Au 1.96, 1 Pu 2.05

The crystal system is monoclinic. The uncorrected formation energy is -1.234 eV/atom. The calculated volume is 620 Å³/cell.

=====

Record 2
# Rb2LiAuO

A geometry-optimized Rb2LiAuO structure (PBE, the Alexandria database).

Cell lengths 5.9644, 5.9644, 3.7453 Å; angles 90.00, 90.00, 90.00 degrees
Last column: nearest neighbours and their distance in Å.
Space group P4/mmm (No. 123)
Unique sites:
Rb 0.0000 0.5000 0.0000  2 O 2.98
Li 0.0000 0.0000 0.5000  2 O 1.87
Au 0.5000 0.5000 0.5000  8 Rb 3.52, 2 Au 3.75
O 0.0000 0.0000 0.0000  2 Li 1.87

The crystal system is tetragonal. The uncorrected formation energy is -0.867 eV/atom. The calculated volume is 133 Å³/cell.

=====

Record 3
# Rb5LiAuO2

A geometry-optimized Rb5LiAuO2 structure (PBE, the Alexandria database).

Cell lengths 5.6786, 5.6786, 9.4754 Å; angles 90.00, 90.00, 90.00 degrees
Last column: nearest neighbours and their distance in Å.
Space group P4/mmm (No. 123)
Unique sites:
Rb 0.0000 0.0000 0.0000  2 O 2.92
Rb 0.0000 0.5000 0.2743  2 O 2.86
Li 0.0000 0.0000 0.5000  2 O 1.82
Au 0.5000 0.5000 0.0000  12 Rb 3.85-4.02
O 0.0000 0.0000 0.3080  1 Li 1.82

The crystal system is tetragonal. The uncorrected formation energy is -0.811 eV/atom. The calculated volume is 306 Å³/cell.

=====

Record 4
# LiAu2SO

A geometry-optimized LiAu2SO structure (PBE, the Alexandria database).

Cell lengths 4.6004, 4.6004, 4.0708 Å; angles 90.00, 90.00, 90.00 degrees
Last column: nearest neighbours and their distance in Å.
Space group P4/mmm (No. 123)
Unique sites:
Li 0.0000 0.0000 0.0000  2 S 2.04
Au 0.0000 0.5000 0.0000  2 Li 2.30
S 0.0000 0.0000 0.5000  2 Li 2.04
O 0.5000 0.5000 0.5000  8 Au 3.07, 4 S 3.25

The crystal system is tetragonal. The uncorrected formation energy is 0.799 eV/atom. The calculated volume is 86 Å³/cell.

=====

Record 5
# LiSbAu2O

A geometry-optimized LiSbAu2O structure (PBE, the Alexandria database).

Cell lengths 4.5999, 4.5999, 4.6876 Å; angles 90.00, 90.00, 90.00 degrees
Last column: nearest neighbours and their distance in Å.
Space group P4/mmm (No. 123)
Unique sites:
Li 0.0000 0.0000 0.0000  4 Sb 3.25, 8 Au 3.28
Sb 0.5000 0.5000 0.0000  2 O 2.34
Au 0.0000 0.5000 0.5000  2 O 2.30
O 0.5000 0.5000 0.5000  4 Au 2.30, 2 Sb 2.34

The crystal system is tetragonal. The uncorrected formation energy is 0.111 eV/atom. The calculated volume is 99 Å³/cell.

=====

Record 6
# LiSbAu2O6

A geometry-optimized LiSbAu2O6 structure (PBE, the Alexandria database).

Cell lengths 11.6651, 7.5053, 6.1662 Å; angles 90.00, 106.17, 90.00 degrees
Last column: nearest neighbours and their distance in Å.
Space group C2/c (No. 15)
Unique sites:
Li 0.0000 0.1344 0.2500  4 O 1.99-2.00
Sb 0.0000 0.2735 0.7500  6 O 1.99-2.21
Au 0.2367 0.3727 0.2237  4 O 1.98-2.08
O 0.0607 0.3197 0.0793  1 Sb 1.99, 1 Li 1.99, 1 Au 2.04
O 0.0911 0.0675 0.6668  1 Au 1.98, 1 Li 2.00, 1 Sb 2.02
O 0.1760 0.3726 0.7338  2 Au 2.05-2.08, 1 Sb 2.21

The crystal system is monoclinic. The uncorrected formation energy is -0.727 eV/atom. The calculated volume is 518 Å³/cell.